# Nd5Co2I2 | Alexandria via LeMat-Bulk | PBE | relaxed
# **Calculated density**: 6.88 g/cm³
# **Raw formation energy**: -0.443 eV per atom
# **V**: 29.312 Å³ per atom
data_Nd5Co2I2
_cell_length_a 16.967
_cell_length_b 7.848
_cell_length_c 7.924
_cell_angle_alpha 90.00
_cell_angle_beta 90.00
_cell_angle_gamma 90.00
_space_group_name_H-M_alt 'C m c e'
_space_group_IT_number 64
_space_group_name_Hall '-C 2ac 2'
loop_
_atom_site_label
_atom_site_type_symbol
_atom_site_fract_x
_atom_site_fract_y
_atom_site_fract_z
_atom_site_occupancy
Nd1 Nd 0.000 0.000 0.000 1
Nd2 Nd 0.106 0.152 0.345 1
Co1 Co 0.000 0.144 0.638 1
I1 I 0.210 0.000 0.000 1

***

# Nd2Co2I | Alexandria via LeMat-Bulk | PBE | relaxed
# **Calculated density**: 6.55 g/cm³
# **Raw formation energy**: -0.367 eV per atom
# **V**: 27.033 Å³ per atom
data_Nd2Co2I
_cell_length_a 7.722
_cell_length_b 17.172
_cell_length_c 4.077
_cell_angle_alpha 90.00
_cell_angle_beta 90.00
_cell_angle_gamma 90.00
_space_group_name_H-M_alt 'I m m a'
_space_group_IT_number 74
_space_group_name_Hall '-I 2b 2'
loop_
_atom_site_label
_atom_site_type_symbol
_atom_site_fract_x
_atom_site_fract_y
_atom_site_fract_z
_atom_site_occupancy
Nd1 Nd 0.250 0.095 0.250 1
Co1 Co 0.000 0.025 0.749 1
I1 I 0.000 0.250 0.984 1

***

# Nd4Co2I5 | Alexandria via LeMat-Bulk | PBE | relaxed
# **Calculated density**: 5.84 g/cm³
# **Raw formation energy**: -0.757 eV per atom
# **V**: 34.364 Å³ per atom
data_Nd4Co2I5
_cell_length_a 4.223
_cell_length_b 8.890
_cell_length_c 20.138
_cell_angle_alpha 90.00
_cell_angle_beta 90.00
_cell_angle_gamma 90.00
_space_group_name_H-M_alt 'I m m m'
_space_group_IT_number 71
_space_group_name_Hall '-I 2 2'
loop_
_atom_site_label
_atom_site_type_symbol
_atom_site_fract_x
_atom_site_fract_y
_atom_site_fract_z
_atom_site_occupancy
Nd1 Nd 0.000 0.000 0.172 1
Nd2 Nd 0.000 0.299 0.500 1
Co1 Co 0.000 0.000 0.052 1
I1 I 0.000 0.225 0.335 1
I2 I 0.000 0.500 0.000 1

***

# Nd2Co2I | Alexandria via LeMat-Bulk | PBE | relaxed
# **Calculated density**: 7.24 g/cm³
# **Raw formation energy**: -0.569 eV per atom
# **V**: 24.466 Å³ per atom
data_Nd2Co2I
_cell_length_a 3.9980
_cell_length_b 3.9980
_cell_length_c 17.6745
_cell_angle_alpha 90.00
_cell_angle_beta 90.00
_cell_angle_gamma 120.00
_space_group_name_H-M_alt 'P 63/m m c'
_space_group_IT_number 194
_space_group_name_Hall '-P 6c 2c'
loop_
_atom_site_label
_atom_site_type_symbol
_atom_site_fract_x
_atom_site_fract_y
_atom_site_fract_z
_atom_site_occupancy
Nd1 Nd 0.0000 0.0000 0.1056 1
Co1 Co 0.3333 0.6667 0.9997 1
I1 I 0.3333 0.6667 0.2500 1